The following is a DFT calculation (PBE-GGA) of a geometry-optimized Nd2AsS4 structure.

Cell lengths 5.9785, 5.9785, 5.9785 Å; angles 112.53, 112.53, 103.51 degrees
Closest atoms and distances in Å follow each position.
Element x y z (fractional)
1 Nd 0.2500 0.7500 0.5000  8 S 2.99
2 Nd 0.7500 0.2500 0.5000  8 S 2.99
3 As 0.0000 0.0000 0.0000  4 S 2.46
4 S 0.2619 0.2619 0.5238  1 As 2.46
5 S 0.2619 0.7381 0.0000  1 As 2.46
6 S 0.7381 0.2619 0.0000  1 As 2.46
7 S 0.7381 0.7381 0.4762  1 As 2.46

Computed properties:
spin magnetization: 0.001 μB/atom
space-group type: I4/mmm (139)
ΔE_f (raw): -1.237 eV per atom